A relaxed structure of Y2Fe2Te. Source: the Alexandria database, functional PBE.

Properties
Its uncorrected formation energy is -1.5 eV/f.u. The calculation puts the uncorrected energy at -6.8951 eV per atom. The theoretical density is 6.5 g/cm3.

a b c (Å): 7.318 7.318 3.959
angles (deg): 90.00 90.00 90.00
Fractional coordinates of all 10 atoms:
Y: 0.177 0.323 0.000
Y: 0.323 0.823 0.000
Y: 0.677 0.177 0.000
Y: 0.823 0.677 0.000
Fe: 0.106 0.606 0.500
Fe: 0.394 0.106 0.500
Fe: 0.606 0.894 0.500
Fe: 0.894 0.394 0.500
Te: 0.000 0.000 0.500
Te: 0.500 0.500 0.500